The following is a DFT calculation (PBE+U) of an optimized crystal structure of Ru3WO.

Output
Total magnetization, μB/f.u.: 0.00
Energy above the lowest structure with this stoichiometry, kJ/mol of atoms: 0.0

Geometry as POSCAR:
```
Ru3WO
1.0
-3.877 1.117 -0.549
0.226 -1.136 -3.904
-1.224 -3.747 1.019
O Ru W
1 3 1
direct
0.000 0.000 0.000 O
0.500 0.000 0.000 Ru
0.000 0.000 0.500 Ru
0.000 0.500 0.000 Ru
0.500 0.500 0.500 W
```